Here is crystalline Ce6Tl3Rh at its relaxed geometry from Alexandria. Energies are from GGA-PBE.

CIF file:
```
data_Ce6Tl3Rh
_cell_length_a 8.4310
_cell_length_b 6.1231
_cell_length_c 6.1231
_cell_angle_alpha 68.05
_cell_angle_beta 77.68
_cell_angle_gamma 77.68
_space_group_name_H-M_alt 'P 1'
_space_group_IT_number 1
loop_
_space_group_symop_operation_xyz
'x,y,z'
loop_
_atom_site_label
_atom_site_type_symbol
_atom_site_fract_x
_atom_site_fract_y
_atom_site_fract_z
Rh1 Rh 0.5000 0.5000 0.5000
Tl1 Tl 0.2504 0.1831 0.1831
Ce1 Ce 0.1290 0.6448 0.6448
Tl2 Tl 0.7496 0.8169 0.8169
Ce2 Ce 0.6317 0.9177 0.3251
Tl3 Tl 0.0000 0.0000 0.0000
Ce3 Ce 0.6317 0.3251 0.9177
Ce4 Ce 0.8710 0.3552 0.3552
Ce5 Ce 0.3683 0.6749 0.0823
Ce6 Ce 0.3683 0.0823 0.6749
```

final energy: -5.180 eV per atom
crystal system: monoclinic
calculated density: 9.12 g/cm3
ΔE_f: -0.18 eV per atom
D(E_F): 30.59 states/eV/f.u.

---

Here is crystalline LaDy2Au at its relaxed geometry from Alexandria. Energies are from GGA-PBE.

CIF file:
```
data_LaDy2Au
_cell_length_a 5.0105
_cell_length_b 6.6131
_cell_length_c 7.7494
_cell_angle_alpha 90.00
_cell_angle_beta 90.00
_cell_angle_gamma 112.31
_space_group_name_H-M_alt 'P 1'
_space_group_IT_number 1
loop_
_space_group_symop_operation_xyz
'x,y,z'
loop_
_atom_site_label
_atom_site_type_symbol
_atom_site_fract_x
_atom_site_fract_y
_atom_site_fract_z
Au1 Au 0.7974 0.5955 0.7500
Au2 Au 0.2026 0.4045 0.2500
La1 La 0.0495 0.0993 0.7500
Dy1 Dy 0.3531 0.7062 0.5339
Dy2 Dy 0.3531 0.7062 0.9661
Dy3 Dy 0.6469 0.2938 0.4661
La2 La 0.9505 0.9007 0.2500
Dy4 Dy 0.6469 0.2938 0.0339
```

final energy: -4.767 eV per atom
crystal system: orthorhombic
calculated density: 9.24 g/cm3
energy above the most stable polymorph in this dataset: 11 meV per atom
ΔE_f: -0.41 eV per atom
D(E_F): 5.61 states/eV/f.u.

---

Here is crystalline ZnSi2Br at its relaxed geometry from Alexandria. Energies are from GGA-PBE.

CIF file:
```
data_ZnSi2Br
_cell_length_a 6.1889
_cell_length_b 6.1889
_cell_length_c 6.1889
_cell_angle_alpha 154.15
_cell_angle_beta 131.14
_cell_angle_gamma 56.09
_space_group_name_H-M_alt 'P 1'
_space_group_IT_number 1
loop_
_space_group_symop_operation_xyz
'x,y,z'
loop_
_atom_site_label
_atom_site_type_symbol
_atom_site_fract_x
_atom_site_fract_y
_atom_site_fract_z
Si1 Si 0.5395 0.5395 0.0000
Zn1 Zn 0.7500 0.2500 0.5000
Br1 Br 0.2500 0.7500 0.5000
Si2 Si 0.9605 0.9605 0.0000
```

final energy: -2.938 eV per atom
crystal system: orthorhombic
E_form (uncorrected): 2.0 eV/f.u.
calculated density: 4.32 g/cm3
energy above the most stable polymorph in this dataset: 445 meV per atom
D(E_F): 1.56 states/eV/f.u.

---

Here is crystalline TiB2 at its relaxed geometry from Alexandria. Energies are from GGA-PBE.

CIF file:
```
data_TiB2
_cell_length_a 2.5798
_cell_length_b 2.5798
_cell_length_c 4.4852
_cell_angle_alpha 106.71
_cell_angle_beta 106.71
_cell_angle_gamma 90.00
_space_group_name_H-M_alt 'P 1'
_space_group_IT_number 1
loop_
_space_group_symop_operation_xyz
'x,y,z'
loop_
_atom_site_label
_atom_site_type_symbol
_atom_site_fract_x
_atom_site_fract_y
_atom_site_fract_z
B1 B 0.2939 0.2939 0.5878
Ti1 Ti 0.0000 0.0000 0.0000
B2 B 0.7061 0.7061 0.4122
```

final energy: -6.837 eV per atom
crystal system: tetragonal
calculated density: 4.23 g/cm3
ΔE_f: 0.25 eV per atom
D(E_F): 2.42 states/eV/f.u.

---

Here is crystalline La2ZnSn3 at its relaxed geometry from Alexandria. Energies are from GGA-PBE.

CIF file:
```
data_La2ZnSn3
_cell_length_a 4.3353
_cell_length_b 4.7272
_cell_length_c 8.2180
_cell_angle_alpha 90.00
_cell_angle_beta 90.00
_cell_angle_gamma 90.00
_space_group_name_H-M_alt 'P 1'
_space_group_IT_number 1
loop_
_space_group_symop_operation_xyz
'x,y,z'
loop_
_atom_site_label
_atom_site_type_symbol
_atom_site_fract_x
_atom_site_fract_y
_atom_site_fract_z
Zn1 Zn 0.5000 0.5000 0.3241
La1 La 0.0000 0.5000 0.9992
Sn1 Sn 0.5000 0.5000 0.6454
La2 La 0.0000 0.0000 0.5035
Sn2 Sn 0.5000 0.0000 0.1870
Sn3 Sn 0.5000 0.0000 0.8407
```

final energy: -4.436 eV per atom
crystal system: orthorhombic
calculated density: 6.90 g/cm3
ΔE_f: -0.58 eV per atom
D(E_F): 1.82 states/eV/f.u.

---

Here is crystalline Sr2BiTe2 at its relaxed geometry from Alexandria. Energies are from GGA-PBE.

CIF file:
```
data_Sr2BiTe2
_cell_length_a 9.0378
_cell_length_b 9.0378
_cell_length_c 4.3092
_cell_angle_alpha 90.00
_cell_angle_beta 90.00
_cell_angle_gamma 90.00
_space_group_name_H-M_alt 'P 1'
_space_group_IT_number 1
loop_
_space_group_symop_operation_xyz
'x,y,z'
loop_
_atom_site_label
_atom_site_type_symbol
_atom_site_fract_x
_atom_site_fract_y
_atom_site_fract_z
Bi1 Bi 0.5000 0.5000 0.0000
Sr1 Sr 0.6565 0.8435 0.5000
Te1 Te 0.3483 0.8483 0.0000
Te2 Te 0.6517 0.1517 0.0000
Sr2 Sr 0.1565 0.6565 0.5000
Sr3 Sr 0.8435 0.3435 0.5000
Te3 Te 0.8483 0.6517 0.0000
Sr4 Sr 0.3435 0.1565 0.5000
Te4 Te 0.1517 0.3483 0.0000
Bi2 Bi 0.0000 0.0000 0.0000
```

final energy: -3.777 eV per atom
crystal system: tetragonal
E_form (uncorrected): -5.4 eV/f.u.
calculated density: 6.03 g/cm3
D(E_F): 2.71 states/eV/f.u.

---

Here is crystalline Nb6MoW2 at its relaxed geometry from Alexandria. Energies are from GGA-PBE.

CIF file:
```
data_Nb6MoW2
_cell_length_a 4.4266
_cell_length_b 6.2965
_cell_length_c 7.6833
_cell_angle_alpha 114.19
_cell_angle_beta 106.80
_cell_angle_gamma 90.00
_space_group_name_H-M_alt 'P 1'
_space_group_IT_number 1
loop_
_space_group_symop_operation_xyz
'x,y,z'
loop_
_atom_site_label
_atom_site_type_symbol
_atom_site_fract_x
_atom_site_fract_y
_atom_site_fract_z
W1 W 0.3336 0.3334 0.6668
Mo1 Mo 0.0000 0.0000 0.0000
W2 W 0.6664 0.6666 0.3332
Nb1 Nb 0.1657 0.4150 0.3318
Nb2 Nb 0.5000 0.7498 0.0000
Nb3 Nb 0.8343 0.5850 0.6682
Nb4 Nb 0.1657 0.9168 0.3318
Nb5 Nb 0.5000 0.2502 0.0000
Nb6 Nb 0.8343 0.0832 0.6682
```

final energy: -10.120 eV per atom
crystal system: monoclinic
calculated density: 9.15 g/cm3
energy above the most stable polymorph in this dataset: 725 meV per atom
ΔE_f: 0.67 eV per atom
D(E_F): 10.51 states/eV/f.u.

---

Here is crystalline AcPrTl4 at its relaxed geometry from Alexandria. Energies are from GGA-PBE.

CIF file:
```
data_AcPrTl4
_cell_length_a 5.1168
_cell_length_b 5.1225
_cell_length_c 8.4817
_cell_angle_alpha 89.86
_cell_angle_beta 89.91
_cell_angle_gamma 90.05
_space_group_name_H-M_alt 'P 1'
_space_group_IT_number 1
loop_
_space_group_symop_operation_xyz
'x,y,z'
loop_
_atom_site_label
_atom_site_type_symbol
_atom_site_fract_x
_atom_site_fract_y
_atom_site_fract_z
Tl1 Tl 0.5008 0.9983 0.7285
Tl2 Tl 0.0018 0.4964 0.7280
Tl3 Tl 0.0006 0.4980 0.2682
Pr1 Pr 0.0014 0.9972 0.4981
Tl4 Tl 0.5019 0.9965 0.2678
Ac1 Ac 0.5012 0.4974 0.9982
```

final energy: -3.089 eV per atom
crystal system: monoclinic
calculated density: 8.85 g/cm3
energy above the most stable polymorph in this dataset: 236 meV per atom
ΔE_f: -0.03 eV per atom
D(E_F): 5.29 states/eV/f.u.